A plane-wave DFT calculation with PBE with a Hubbard U was carried out for an optimized crystal structure of CsKCoO2.

Calculated density (g cm⁻³): 4.16
Total energy (eV for the cell shown): -42.781

Cell and atoms, written as CIF:
```
data_CsKCoO2
_space_group_name_H-M_alt 'P m m a'
_space_group_IT_number 51
_cell_length_a 5.532
_cell_length_b 6.671
_cell_length_c 5.693
_cell_angle_alpha 90.00
_cell_angle_beta 90.00
_cell_angle_gamma 90.00
loop_
_space_group_symop_operation_xyz
'x,y,z'
'-x,-y,-z'
'-x+1/2,-y,z'
'x+1/2,y,-z'
'x+1/2,-y,-z'
'-x+1/2,y,z'
'-x,y,-z'
'x,-y,z'
loop_
_atom_site_label
_atom_site_fract_x
_atom_site_fract_y
_atom_site_fract_z
Cs1 0.250 0.000 0.219
K1 0.250 0.500 0.508
Co1 0.000 0.500 0.000
O1 0.250 0.315 0.901
```